# 1
DFT (PBE) results for CePm3Sn2C after structural relaxation.

Cell lengths 4.8094, 4.9941, 16.4822 Å; angles 90.00, 90.00, 90.00 degrees
Closest atoms and distances in Å follow each position.
Space group Immm (No. 71)
Symmetry-distinct sites (fractional):
Ce  0.0000  0.0000  0.0000  2 C 2.40
Pm  0.0000  0.0000  0.5000  2 C 2.50
Pm  0.0000  0.5000  0.3365  1 C 2.69
Sn  0.0000  0.5000  0.1394  7 Pm 3.25-3.49, 2 Ce 3.39
C  0.0000  0.5000  0.5000  2 Ce 2.40, 2 Pm 2.50

DFT total energy: -5.889 eV/atom
Mass density: 6917 kg/m3
Crystal system: orthorhombic
Total moment: 0.3 μB per formula unit
Calculated formation energy: -0.54 eV/atom



# 2
DFT (PBE) results for CePm2SnC after structural relaxation.

Cell lengths 5.0949, 5.0949, 4.8998 Å; angles 90.00, 90.00, 90.00 degrees
Closest atoms and distances in Å follow each position.
Space group P4/mmm (No. 123)
Symmetry-distinct sites (fractional):
Ce  0.0000  0.0000  0.0000  2 C 2.45
Pm  0.0000  0.5000  0.5000  2 C 2.55
Sn  0.5000  0.5000  0.0000  8 Pm 3.53, 4 Ce 3.60
C  0.0000  0.0000  0.5000  2 Ce 2.45, 4 Pm 2.55

DFT total energy: -6.219 eV/atom
Mass density: 7322 kg/m3
Crystal system: tetragonal
Total moment: 0.5 μB per formula unit
Calculated formation energy: -0.49 eV/atom



# 3
DFT (PBE) results for Ce2PmTlC after structural relaxation.

Cell lengths 4.9574, 4.9574, 5.1602 Å; angles 90.00, 90.00, 90.00 degrees
Closest atoms and distances in Å follow each position.
Space group P4/mmm (No. 123)
Symmetry-distinct sites (fractional):
Ce  0.0000  0.5000  0.0000  2 C 2.48
Pm  0.0000  0.0000  0.5000  2 C 2.58
Tl  0.5000  0.5000  0.5000  4 Pm 3.51, 8 Ce 3.58
C  0.0000  0.0000  0.0000  4 Ce 2.48, 2 Pm 2.58

DFT total energy: -5.926 eV/atom
Mass density: 8402 kg/m3
Crystal system: tetragonal
Total moment: 1.1 μB per formula unit
Calculated formation energy: -0.28 eV/atom



# 4
DFT (PBE) results for CePrC after structural relaxation.

Cell lengths 6.2985, 6.2985, 6.2985 Å; angles 90.00, 90.00, 90.00 degrees
Closest atoms and distances in Å follow each position.
Space group F-43m (No. 216)
Symmetry-distinct sites (fractional):
Ce  0.0000  0.0000  0.0000  4 C 2.73
Pr  0.0000  0.0000  0.5000  4 C 2.73
C  0.2500  0.2500  0.2500  4 Ce 2.73, 4 Pr 2.73

DFT total energy: -6.422 eV/atom
Mass density: 7790 kg/m3
Crystal system: cubic
Total moment: 0.0 μB per formula unit
E above lowest polymorph: 0.3208 eV per atom
Calculated formation energy: 0.22 eV/atom